Entry from Alexandria via LeMat-Bulk: a crystal of CdRe2H26C6S6N12O9 relaxed with PBEsol (meta-GGA SCAN).

Cell: 15.590 14.066 14.325 Å, 90.00 112.69 90.00°
Space group C2/c (No. 15)
Inequivalent atoms, fractional coordinates:
Cd (0.250, 0.250, 0.000)
Re (0.165, 0.163, 0.363)
H (0.010, 0.122, 0.060)
H (0.012, 0.385, 0.395)
H (0.056, 0.337, 0.277)
H (0.057, 0.327, 0.864)
H (0.062, 0.338, 0.659)
H (0.066, 0.095, 0.705)
H (0.097, 0.089, 0.598)
H (0.102, 0.378, 0.518)
H (0.128, 0.136, 0.081)
H (0.189, 0.464, 0.971)
H (0.199, 0.414, 0.257)
H (0.201, 0.423, 0.421)
H (0.211, 0.481, 0.697)
C (0.031, 0.356, 0.990)
C (0.041, 0.113, 0.933)
C (0.201, 0.462, 0.833)
S (0.125, 0.122, 0.884)
S (0.147, 0.356, 0.069)
S (0.195, 0.340, 0.819)
N (0.006, 0.340, 0.891)
N (0.032, 0.375, 0.472)
N (0.047, 0.097, 0.628)
N (0.062, 0.121, 0.032)
N (0.196, 0.496, 0.413)
N (0.211, 0.485, 0.261)
O (0.000, 0.379, 0.250)
O (0.095, 0.118, 0.246)
O (0.116, 0.135, 0.451)
O (0.169, 0.288, 0.353)
O (0.224, 0.386, 0.598)

Computed properties:
**Crystal system**: monoclinic
**Total moment**: 0.0 μB per formula unit
**E_tot**: -9.40 eV per atom

***

Entry from Alexandria via LeMat-Bulk: a crystal of CdH2C4S6N4 relaxed with PBEsol (meta-GGA SCAN).

Cell: 12.831 11.795 7.788 Å, 90.00 90.00 90.00°
Space group Pbcn (No. 60)
Inequivalent atoms, fractional coordinates:
Cd (0.000, 0.140, 0.250)
H (0.166, 0.149, 0.609)
C (0.091, 0.306, 0.575)
C (0.250, 0.108, 0.195)
S (0.029, 0.272, 0.998)
S (0.129, 0.442, 0.624)
S (0.160, 0.017, 0.281)
N (0.171, 0.237, 0.611)
N (0.241, 0.218, 0.178)

Computed properties:
**Crystal system**: orthorhombic
**Total moment**: 0.0 μB per formula unit
**E_tot**: -10.08 eV per atom

***

Entry from Alexandria via LeMat-Bulk: a crystal of Hf2MgCdC relaxed with PBEsol (meta-GGA SCAN).

Cell: 4.950 4.950 4.620 Å, 90.00 90.00 90.00°
Space group P4/mmm (No. 123)
Inequivalent atoms, fractional coordinates:
Hf (0.000, 0.500, 0.000)
Mg (0.000, 0.000, 0.000)
Cd (0.000, 0.000, 0.500)
C (0.500, 0.500, 0.500)

Computed properties:
**E_form**: 2.3648 eV/atom
**Crystal system**: tetragonal
**Total moment**: 0.0 μB per formula unit

***

Entry from Alexandria via LeMat-Bulk: a crystal of Hf2CdMoC relaxed with PBEsol (meta-GGA SCAN).

Cell: 4.838 4.838 5.158 Å, 90.00 90.00 90.00°
Space group P4/mmm (No. 123)
Inequivalent atoms, fractional coordinates:
Hf (0.000, 0.500, 0.000)
Cd (0.000, 0.000, 0.500)
Mo (0.000, 0.000, 0.000)
C (0.500, 0.500, 0.500)

Computed properties:
**E_form**: 2.0581 eV/atom
**Crystal system**: tetragonal
**Total moment**: 1.6 μB per formula unit